# 1
The following is a DFT calculation (PBE+U) of a relaxed ScMoP2O crystal.

Values from the calculation:
Excess energy over the best structure of this formula in the dataset: 35.67 kJ/mol of atoms
Total moment: 3.3 μB per formula unit
N(E_F): 0.9859 states/eV per atom
Electronic total energy: -5.92 eV per atom

Unit cell a=5.0966 b=5.0966 c=3.8354 alpha=90.00 beta=90.00 gamma=90.00
Space group P4/mmm (No. 123)
Unique sites:
1 Sc 0.0000 0.0000 0.0000 (multiplicity 1)
2 Mo 0.5000 0.5000 0.5000 (multiplicity 1)
3 P 0.0000 0.5000 0.0000 (multiplicity 2)
4 O 0.0000 0.0000 0.5000 (multiplicity 1)

# 2
The following is a DFT calculation (PBE+U) of a relaxed SnMoP2O crystal.

Values from the calculation:
Excess energy over the best structure of this formula in the dataset: 0.00 kJ/mol of atoms
Total moment: 0.5 μB per formula unit
N(E_F): 0.4795 states/eV per atom
Electronic total energy: -5.43 eV per atom

Unit cell a=4.9662 b=4.9662 c=3.8138 alpha=90.00 beta=90.00 gamma=90.00
Space group P4/mmm (No. 123)
Unique sites:
1 Sn 0.0000 0.0000 0.0000 (multiplicity 1)
2 Mo 0.5000 0.5000 0.5000 (multiplicity 1)
3 P 0.0000 0.5000 0.5000 (multiplicity 2)
4 O 0.5000 0.5000 0.0000 (multiplicity 1)

# 3
The following is a DFT calculation (PBE+U) of a relaxed SnMoP2O crystal.

Values from the calculation:
Excess energy over the best structure of this formula in the dataset: 62.63 kJ/mol of atoms
Total moment: 2.6 μB per formula unit
N(E_F): 0.6281 states/eV per atom
Electronic total energy: -4.78 eV per atom

Unit cell a=5.1061 b=5.1061 c=3.9323 alpha=90.00 beta=90.00 gamma=90.00
Space group P4/mmm (No. 123)
Unique sites:
1 Sn 0.0000 0.0000 0.0000 (multiplicity 1)
2 Mo 0.5000 0.5000 0.5000 (multiplicity 1)
3 P 0.0000 0.5000 0.0000 (multiplicity 2)
4 O 0.0000 0.0000 0.5000 (multiplicity 1)

# 4
The following is a DFT calculation (PBE+U) of a relaxed SrMoP2O8 crystal.

Values from the calculation:
Excess energy over the best structure of this formula in the dataset: 6.44 kJ/mol of atoms
Total moment: 2.0 μB per formula unit
N(E_F): 0.3485 states/eV per atom
Electronic total energy: -7.15 eV per atom

Unit cell a=4.8198 b=4.8198 c=23.3842 alpha=90.00 beta=90.00 gamma=120.00
Space group R32 (No. 155, hexagonal axes)
Unique sites:
1 Sr 0.0000 0.0000 0.0000 (multiplicity 3)
2 Mo 0.0000 0.0000 0.5000 (multiplicity 3)
3 P 0.0000 0.0000 0.2457 (multiplicity 6)
4 O 0.0000 0.0000 0.3111 (multiplicity 6)
5 O 0.0152 0.3764 0.8907 (multiplicity 18)

# 5
The following is a DFT calculation (PBE+U) of a relaxed SrMoP2O8 crystal.

Values from the calculation:
Excess energy over the best structure of this formula in the dataset: 0.00 kJ/mol of atoms
Total moment: 2.0 μB per formula unit
N(E_F): 0.0000 states/eV per atom
Electronic total energy: -7.22 eV per atom

Unit cell a=5.7083 b=7.3058 c=9.4038 alpha=103.48 beta=102.03 gamma=102.60
Space group P-1 (No. 2)
Unique sites:
1 Sr 0.1849 0.2965 0.0193 (multiplicity 2)
2 Mo 0.1552 0.8450 0.5776 (multiplicity 2)
3 P 0.1266 0.5095 0.7539 (multiplicity 2)
4 P 0.3392 0.0482 0.3070 (multiplicity 2)
5 O 0.0753 0.5707 0.1742 (multiplicity 2)
6 O 0.0875 0.7146 0.7342 (multiplicity 2)
7 O 0.0939 0.3718 0.5931 (multiplicity 2)
8 O 0.1412 0.9935 0.3983 (multiplicity 2)
9 O 0.1955 0.0232 0.1455 (multiplicity 2)
10 O 0.3819 0.5410 0.8592 (multiplicity 2)
11 O 0.4649 0.0773 0.6890 (multiplicity 2)
12 O 0.4775 0.7460 0.5990 (multiplicity 2)

# 6
The following is a DFT calculation (PBE+U) of a relaxed SrMoPO5 crystal.

Values from the calculation:
Total moment: 3.0 μB per formula unit
N(E_F): 0.0000 states/eV per atom
Electronic total energy: -7.22 eV per atom

Unit cell a=6.9253 b=9.2834 c=7.4729 alpha=90.00 beta=114.00 gamma=90.00
Space group C2/c (No. 15)
Unique sites:
1 Sr 0.0000 0.1639 0.2500 (multiplicity 4)
2 Mo 0.0000 0.5000 0.0000 (multiplicity 4)
3 P 0.0000 0.1861 0.7500 (multiplicity 4)
4 O 0.0000 0.4098 0.2500 (multiplicity 4)
5 O 0.0990 0.2826 0.6373 (multiplicity 8)
6 O 0.1680 0.0852 0.9011 (multiplicity 8)

# 7
The following is a DFT calculation (PBE+U) of a relaxed SrMo3P2O14 crystal.

Values from the calculation:
Total moment: 2.0 μB per formula unit
N(E_F): 0.0000 states/eV per atom
Electronic total energy: -7.20 eV per atom

Unit cell a=8.5550 b=6.5387 c=10.8245 alpha=90.00 beta=112.87 gamma=90.00
Space group P2_1/m (No. 11)
Unique sites:
1 Sr 0.0092 0.2500 0.2463 (multiplicity 2)
2 Mo 0.2459 0.7500 0.1691 (multiplicity 2)
3 Mo 0.2581 0.7500 0.4904 (multiplicity 2)
4 Mo 0.3332 0.2500 0.8754 (multiplicity 2)
5 P 0.3428 0.2500 0.5618 (multiplicity 2)
6 P 0.3752 0.2500 0.1987 (multiplicity 2)
7 O 0.0797 0.7500 0.0147 (multiplicity 2)
8 O 0.1138 0.7500 0.5665 (multiplicity 2)
9 O 0.1320 0.7500 0.2991 (multiplicity 2)
10 O 0.2126 0.0270 0.8576 (multiplicity 4)
11 O 0.2583 0.0647 0.1923 (multiplicity 4)
12 O 0.2656 0.0641 0.4679 (multiplicity 4)
13 O 0.2754 0.2500 0.6737 (multiplicity 2)
14 O 0.4316 0.2500 0.0792 (multiplicity 2)
15 O 0.4432 0.7500 0.1140 (multiplicity 2)
16 O 0.4612 0.7500 0.3851 (multiplicity 2)
17 O 0.4691 0.7500 0.6697 (multiplicity 2)

# 8
The following is a DFT calculation (PBE+U) of a relaxed TcMoPO2 crystal.

Values from the calculation:
Excess energy over the best structure of this formula in the dataset: 22.66 kJ/mol of atoms
Total moment: 5.2 μB per formula unit
N(E_F): 0.6224 states/eV per atom
Electronic total energy: -6.78 eV per atom

Unit cell a=3.8158 b=3.8158 c=5.4731 alpha=90.00 beta=90.00 gamma=90.00
Space group P4/mmm (No. 123)
Unique sites:
1 Tc 0.0000 0.0000 0.0000 (multiplicity 1)
2 Mo 0.5000 0.5000 0.5000 (multiplicity 1)
3 P 0.5000 0.5000 0.0000 (multiplicity 1)
4 O 0.0000 0.5000 0.5000 (multiplicity 2)